Here is a relaxed structure of LaSm4Tm2 from Alexandria via LeMat-Bulk. Energies are from PBE-GGA.

Calculated values
- Formation energy from the elements: 82 kJ/mol of formula units
- D(E_F): 10.63 states/eV/f.u.
- Energy above the most stable polymorph in this dataset: 0.077 eV/atom
- SG: P2_1/m (11)
- Spin magnetization: 0.0 μB per formula unit

Unit cell a=6.207 b=6.622 c=11.771 alpha=90.00 beta=106.48 gamma=90.00
Element x y z (fractional)
La: 0.176 0.750 0.144
La: 0.824 0.250 0.856
Sm: 0.645 0.494 0.288
Sm: 0.994 0.750 0.842
Sm: 0.006 0.250 0.158
Sm: 0.645 0.006 0.288
Sm: 0.860 0.250 0.567
Sm: 0.355 0.994 0.712
Sm: 0.355 0.506 0.712
Sm: 0.140 0.750 0.433
Tm: 0.602 0.750 0.000
Tm: 0.398 0.250 0.000
Tm: 0.300 0.250 0.445
Tm: 0.700 0.750 0.555

---

Here is a relaxed structure of Pm4CdIn from Alexandria via LeMat-Bulk. Energies are from PBE-GGA.

Calculated values
- Formation energy from the elements: -141 kJ/mol of formula units
- D(E_F): 7.57 states/eV/f.u.
- Energy above the most stable polymorph in this dataset: 0.002 eV/atom
- SG: C2/m (12)
- Spin magnetization: 0.0 μB per formula unit

Unit cell a=3.700 b=7.194 c=8.895 alpha=119.11 beta=78.00 gamma=75.10
Element x y z (fractional)
Pm: 0.828 0.516 0.827
Pm: 0.327 0.019 0.328
Pm: 0.172 0.484 0.173
Pm: 0.673 0.981 0.672
Cd: 0.500 0.500 0.500
In: 0.000 0.000 0.000

---

Here is a relaxed structure of LiFe2Sb from Alexandria via LeMat-Bulk. Energies are from PBE-GGA.

Calculated values
- D(E_F): 3.27 states/eV/f.u.
- SG: I4/mmm (139)
- Spin magnetization: 4.8 μB per formula unit
- Energy relative to the elements, uncorrected: 43 meV/atom

Unit cell a=4.782 b=4.782 c=4.782 alpha=133.35 beta=133.43 gamma=68.04
Each line ends with the local moment (μB).
Element x y z (fractional)
Fe: 0.000 0.000 0.000  2.46
Fe: 0.500 0.500 0.000  2.46
Li: 0.750 0.250 0.500  -0.04
Sb: 0.250 0.750 0.500  -0.04

---

Here is a relaxed structure of PuCdGe2 from Alexandria via LeMat-Bulk. Energies are from PBE-GGA.

Calculated values
- Formation energy from the elements: -104 kJ/mol of formula units
- D(E_F): 9.93 states/eV/f.u.
- Energy above the most stable polymorph in this dataset: 0.000 eV/atom
- SG: P4/mmm (123)
- Spin magnetization: 5.3 μB per formula unit

Unit cell a=4.095 b=4.524 c=4.524 alpha=90.00 beta=90.00 gamma=90.00
Each line ends with the local moment (μB).
Element x y z (fractional)
Ge: 0.000 0.000 0.500  -0.01
Ge: 0.000 0.500 0.000  -0.01
Cd: 0.500 0.000 0.000  0.01
Pu: 0.500 0.500 0.500  5.11

---

Here is a relaxed structure of Ho2Th2Ag from Alexandria via LeMat-Bulk. Energies are from PBE-GGA.

Calculated values
- Formation energy from the elements: -52 kJ/mol of formula units
- D(E_F): 8.37 states/eV/f.u.
- SG: I4/mmm (139)
- Spin magnetization: 0.0 μB per formula unit

Unit cell a=3.583 b=3.583 c=11.443 alpha=99.01 beta=99.01 gamma=90.00
Element x y z (fractional)
Ho: 0.583 0.583 0.166
Ho: 0.417 0.417 0.834
Th: 0.805 0.805 0.610
Th: 0.195 0.195 0.390
Ag: 0.000 0.000 0.000

---

Here is a relaxed structure of ZrNpScAl from Alexandria via LeMat-Bulk. Energies are from PBE-GGA.

Calculated values
- Formation energy from the elements: 60 kJ/mol of formula units
- D(E_F): 12.86 states/eV/f.u.
- SG: F-43m (216)
- Spin magnetization: 4.6 μB per formula unit

Unit cell a=4.951 b=4.951 c=4.951 alpha=60.00 beta=60.00 gamma=60.00
Each line ends with the local moment (μB).
Element x y z (fractional)
Np: 0.750 0.750 0.750  3.88
Sc: 0.000 0.000 0.000  0.24
Al: 0.250 0.250 0.250  -0.05
Zr: 0.500 0.500 0.500  0.21

---

Here is a relaxed structure of CeNdGaGe from Alexandria via LeMat-Bulk. Energies are from PBE-GGA.

Calculated values
- Formation energy from the elements: -260 kJ/mol of formula units
- D(E_F): 6.99 states/eV/f.u.
- Energy above the most stable polymorph in this dataset: 0.000 eV/atom
- SG: Amm2 (38)
- Spin magnetization: 1.4 μB per formula unit

Unit cell a=4.433 b=4.102 c=6.034 alpha=90.00 beta=111.55 gamma=90.00
Each line ends with the local moment (μB).
Element x y z (fractional)
Ce: 0.858 0.500 0.716  0.84
Nd: 0.142 0.000 0.283  0.13
Ga: 0.426 0.000 0.853  0.00
Ge: 0.574 0.500 0.148  -0.02

---

Here is a relaxed structure of SrNiRh3 from Alexandria via LeMat-Bulk. Energies are from PBE-GGA.

Calculated values
- Formation energy from the elements: 1028 kJ/mol of formula units
- D(E_F): 11.86 states/eV/f.u.
- Energy above the most stable polymorph in this dataset: 1.685 eV/atom
- SG: Pm-3m (221)
- Spin magnetization: 2.6 μB per formula unit

Unit cell a=4.900 b=4.900 c=4.900 alpha=90.00 beta=90.00 gamma=90.00
Each line ends with the local moment (μB).
Element x y z (fractional)
Sr: 0.000 0.000 0.000  -0.03
Rh: 0.000 0.500 0.000  0.57
Rh: 0.000 0.000 0.500  0.44
Rh: 0.500 0.000 0.000  0.76
Ni: 0.500 0.500 0.500  0.99

---

Here is a relaxed structure of NiSb2Rh from Alexandria via LeMat-Bulk. Energies are from PBE-GGA.

Calculated values
- D(E_F): 3.84 states/eV/f.u.
- SG: Fm-3m (225)
- Spin magnetization: 0.0 μB per formula unit
- Energy relative to the elements, uncorrected: -32 meV/atom

Unit cell a=4.651 b=4.651 c=4.651 alpha=60.00 beta=60.00 gamma=60.00
Element x y z (fractional)
Sb: 0.250 0.250 0.250
Sb: 0.750 0.750 0.750
Rh: 0.500 0.500 0.500
Ni: 0.000 0.000 0.000

---

Here is a relaxed structure of RbSn2F from Alexandria via LeMat-Bulk. Energies are from PBE-GGA.

Calculated values
- D(E_F): 2.10 states/eV/f.u.
- Energy above the most stable polymorph in this dataset: 0.000 eV/atom
- SG: I4_1/amd (141)
- Spin magnetization: 0.0 μB per formula unit
- Energy relative to the elements, uncorrected: -630 meV/atom

Unit cell a=5.932 b=5.932 c=9.400 alpha=71.61 beta=71.61 gamma=90.00
Element x y z (fractional)
Sn: 0.375 0.125 0.250
Sn: 0.375 0.625 0.250
Sn: 0.375 0.625 0.750
Sn: 0.875 0.625 0.750
Rb: 0.000 0.000 0.000
Rb: 0.750 0.250 0.500
F: 0.500 0.500 0.000
F: 0.250 0.750 0.500

---

Here is a relaxed structure of CaPrSm6 from Alexandria via LeMat-Bulk. Energies are from PBE-GGA.

Calculated values
- Formation energy from the elements: 38 kJ/mol of formula units
- D(E_F): 12.41 states/eV/f.u.
- Energy above the most stable polymorph in this dataset: 0.000 eV/atom
- SG: C2/m (12)
- Spin magnetization: 0.0 μB per formula unit

Unit cell a=5.183 b=6.345 c=9.693 alpha=77.50 beta=74.49 gamma=65.89
Element x y z (fractional)
Ca: 0.000 0.500 0.500
Pr: 0.000 0.000 0.000
Sm: 0.247 0.878 0.628
Sm: 0.502 0.241 0.756
Sm: 0.252 0.374 0.122
Sm: 0.498 0.759 0.244
Sm: 0.753 0.122 0.372
Sm: 0.748 0.626 0.878

---

Here is a relaxed structure of AcTlCd2 from Alexandria via LeMat-Bulk. Energies are from PBE-GGA.

Calculated values
- Formation energy from the elements: -116 kJ/mol of formula units
- D(E_F): 1.10 states/eV/f.u.
- SG: Cmcm (63)
- Spin magnetization: 0.0 μB per formula unit

Unit cell a=5.180 b=6.418 c=7.532 alpha=90.00 beta=90.00 gamma=113.80
Element x y z (fractional)
Ac: 0.904 0.808 0.250
Ac: 0.096 0.192 0.750
Tl: 0.201 0.403 0.250
Tl: 0.799 0.597 0.750
Cd: 0.383 0.766 0.945
Cd: 0.617 0.234 0.055
Cd: 0.617 0.234 0.445
Cd: 0.383 0.766 0.555

---

Here is a relaxed structure of LaCe3Pt2 from Alexandria via LeMat-Bulk. Energies are from PBE-GGA.

Calculated values
- Formation energy from the elements: -424 kJ/mol of formula units
- D(E_F): 15.85 states/eV/f.u.
- Energy above the most stable polymorph in this dataset: 0.000 eV/atom
- SG: Pmc2_1 (26)
- Spin magnetization: 1.9 μB per formula unit

Unit cell a=4.915 b=7.291 c=8.780 alpha=90.00 beta=90.00 gamma=90.00
Each line ends with the local moment (μB).
Element x y z (fractional)
La: 0.500 0.484 0.570  0.01
La: 0.500 0.984 0.430  0.01
Ce: 0.000 0.517 0.935  0.77
Ce: 0.000 0.017 0.065  0.77
Ce: 0.500 0.652 0.145  0.49
Ce: 0.500 0.152 0.855  0.49
Ce: 0.000 0.346 0.344  0.36
Ce: 0.000 0.846 0.656  0.36
Pt: 0.500 0.757 0.821  -0.01
Pt: 0.500 0.257 0.179  -0.01
Pt: 0.000 0.244 0.684  -0.01
Pt: 0.000 0.744 0.316  -0.01

---

Here is a relaxed structure of CsTe2Cl from Alexandria via LeMat-Bulk. Energies are from PBE-GGA.

Calculated values
- D(E_F): 1.62 states/eV/f.u.
- Energy above the most stable polymorph in this dataset: 0.000 eV/atom
- SG: I-42d (122)
- Spin magnetization: 0.0 μB per formula unit
- Energy relative to the elements, uncorrected: -751 meV/atom

Unit cell a=4.788 b=4.788 c=18.390 alpha=82.52 beta=82.52 gamma=90.00
Element x y z (fractional)
Cs: 0.000 0.000 0.000
Cs: 0.750 0.250 0.500
Te: 0.524 0.125 0.250
Te: 0.226 0.625 0.250
Te: 0.375 0.476 0.750
Te: 0.875 0.774 0.750
Cl: 0.500 0.500 0.000
Cl: 0.250 0.750 0.500

---

Here is a relaxed structure of AlCdBr2 from Alexandria via LeMat-Bulk. Energies are from PBE-GGA.

Calculated values
- D(E_F): 1.37 states/eV/f.u.
- Energy above the most stable polymorph in this dataset: 0.332 eV/atom
- SG: C2/m (12)
- Spin magnetization: 0.0 μB per formula unit
- Energy relative to the elements, uncorrected: -153 meV/atom

Unit cell a=5.700 b=5.705 c=3.980 alpha=74.45 beta=74.51 gamma=90.49
Element x y z (fractional)
Al: 0.000 0.500 0.500
Br: 0.000 0.000 0.000
Br: 0.500 0.500 0.000
Cd: 0.500 0.000 0.500

---

Here is a relaxed structure of BeIn from Alexandria via LeMat-Bulk. Energies are from PBE-GGA.

Calculated values
- Formation energy from the elements: 72 kJ/mol of formula units
- D(E_F): 0.55 states/eV/f.u.
- Energy above the most stable polymorph in this dataset: 0.087 eV/atom
- SG: P2_12_12_1 (19)
- Spin magnetization: 0.0 μB per formula unit

Unit cell a=5.079 b=6.956 c=8.688 alpha=90.00 beta=90.00 gamma=90.00
Element x y z (fractional)
Be: 0.336 0.150 0.025
Be: 0.836 0.350 0.975
Be: 0.664 0.650 0.475
Be: 0.164 0.850 0.525
Be: 0.387 0.646 0.660
Be: 0.887 0.854 0.340
Be: 0.613 0.146 0.840
Be: 0.113 0.354 0.160
In: 0.818 0.012 0.089
In: 0.318 0.488 0.911
In: 0.182 0.512 0.411
In: 0.682 0.988 0.589
In: 0.186 0.923 0.817
In: 0.686 0.577 0.183
In: 0.814 0.423 0.683
In: 0.314 0.077 0.317

---

Here is a relaxed structure of Al4Ga7Ag from Alexandria via LeMat-Bulk. Energies are from PBE-GGA.

Calculated values
- Formation energy from the elements: 52 kJ/mol of formula units
- D(E_F): 3.53 states/eV/f.u.
- SG: P-1 (2)
- Spin magnetization: 0.0 μB per formula unit

Unit cell a=3.140 b=5.075 c=18.403 alpha=81.96 beta=75.75 gamma=125.77
Element x y z (fractional)
Al: 0.646 0.339 0.083
Al: 0.354 0.661 0.917
Al: 0.648 0.344 0.333
Al: 0.352 0.656 0.667
Ga: 0.000 0.000 0.000
Ga: 0.666 0.319 0.585
Ga: 0.334 0.681 0.415
Ga: 0.703 0.325 0.833
Ga: 0.297 0.675 0.167
Ga: 0.978 0.018 0.249
Ga: 0.022 0.982 0.751
Ag: 0.000 0.000 0.500

---

Here is a relaxed structure of ThMgZn2Ga2 from Alexandria via LeMat-Bulk. Energies are from PBE-GGA.

Calculated values
- Formation energy from the elements: -219 kJ/mol of formula units
- D(E_F): 1.55 states/eV/f.u.
- SG: P-3m1 (164)
- Spin magnetization: 0.0 μB per formula unit

Unit cell a=4.386 b=4.386 c=7.099 alpha=90.00 beta=90.00 gamma=120.00
Element x y z (fractional)
Th: 0.000 0.000 0.000
Mg: 0.000 0.000 0.500
Zn: 0.667 0.333 0.713
Zn: 0.333 0.667 0.287
Ga: 0.667 0.333 0.263
Ga: 0.333 0.667 0.737

---

Here is a relaxed structure of Na2Te2Pt from Alexandria via LeMat-Bulk. Energies are from PBE-GGA.

Calculated values
- D(E_F): 3.68 states/eV/f.u.
- SG: I4_1/amd (141)
- Spin magnetization: 0.0 μB per formula unit
- Energy relative to the elements, uncorrected: -529 meV/atom

Unit cell a=4.523 b=4.523 c=13.115 alpha=99.93 beta=99.93 gamma=90.00
Element x y z (fractional)
Na: 0.828 0.828 0.656
Na: 0.578 0.078 0.156
Na: 0.922 0.422 0.844
Na: 0.172 0.172 0.344
Te: 0.442 0.942 0.885
Te: 0.692 0.692 0.385
Te: 0.308 0.308 0.615
Te: 0.058 0.558 0.115
Pt: 0.500 0.500 0.000
Pt: 0.250 0.750 0.500

---

Here is a relaxed structure of ErCdRh2 from Alexandria via LeMat-Bulk. Energies are from PBE-GGA.

Calculated values
- Formation energy from the elements: -219 kJ/mol of formula units
- D(E_F): 1.78 states/eV/f.u.
- Energy above the most stable polymorph in this dataset: 0.067 eV/atom
- SG: P4/mmm (123)
- Spin magnetization: 0.0 μB per formula unit

Unit cell a=3.351 b=3.351 c=6.437 alpha=90.00 beta=90.00 gamma=90.00
Element x y z (fractional)
Cd: 0.500 0.500 0.500
Rh: 0.000 0.000 0.745
Rh: 0.000 0.000 0.255
Er: 0.500 0.500 0.000